*A*
## Nd4Dy6Y (GGA-PBE)

Data for a geometry-optimized Nd4Dy6Y structure.

a = 9.761 Å, b = 9.761 Å, c = 9.761 Å
α = 140.03°, β = 140.03°, γ = 57.80°
Element x y z (fractional)
Nd: 0.134 0.134 0.621
Nd: 0.487 0.866 0.000
Nd: 0.513 0.513 0.379
Nd: 0.866 0.487 0.000
Dy: 0.000 0.500 0.500
Dy: 0.053 0.698 0.000
Dy: 0.302 0.302 0.355
Dy: 0.500 0.000 0.500
Dy: 0.698 0.053 0.000
Dy: 0.947 0.947 0.645
Y: 0.500 0.500 0.000

Summary:
volume: 34.6 Å³/atom

***

*B*
## Nd4Dy6Y (GGA-PBE)

Data for a geometry-optimized Nd4Dy6Y structure.

a = 8.542 Å, b = 8.542 Å, c = 8.542 Å
α = 126.33°, β = 126.33°, γ = 79.35°
Element x y z (fractional)
Nd: 0.249 0.249 0.651
Nd: 0.402 0.751 0.000
Nd: 0.598 0.598 0.349
Nd: 0.751 0.402 0.000
Dy: 0.000 0.500 0.500
Dy: 0.058 0.573 0.000
Dy: 0.427 0.427 0.485
Dy: 0.500 0.000 0.500
Dy: 0.573 0.058 0.000
Dy: 0.942 0.942 0.515
Y: 0.000 0.000 0.000

Summary:
volume: 35.6 Å³/atom

***

How far above the most stable structure does each one sit? In kJ/mol of atoms: *A* 0.0; *B* 13.4.

***

*A*
## Nd2DyY6 (GGA-PBE)

Data for a geometry-optimized Nd2DyY6 structure.

a = 10.513 Å, b = 10.513 Å, c = 10.513 Å
α = 124.32°, β = 69.83°, γ = 141.35°
Element x y z (fractional)
Nd: 0.083 0.250 0.833
Nd: 0.417 0.250 0.167
Nd: 0.583 0.750 0.833
Nd: 0.917 0.750 0.167
Dy: 0.250 0.750 0.500
Dy: 0.750 0.250 0.500
Y: 0.008 0.831 0.839
Y: 0.158 0.332 0.490
Y: 0.173 0.665 0.838
Y: 0.327 0.165 0.493
Y: 0.342 0.832 0.173
Y: 0.492 0.331 0.823
Y: 0.508 0.669 0.177
Y: 0.658 0.168 0.827
Y: 0.673 0.835 0.507
Y: 0.827 0.335 0.162
Y: 0.842 0.668 0.510
Y: 0.992 0.169 0.161

Summary:
volume: 32.7 Å³/atom

***

*B*
## Nd2DyY6 (GGA-PBE)

Data for a geometry-optimized Nd2DyY6 structure.

a = 10.151 Å, b = 10.151 Å, c = 6.118 Å
α = 95.46°, β = 95.46°, γ = 70.23°
Element x y z (fractional)
Nd: 0.066 0.269 0.078
Nd: 0.269 0.066 0.578
Nd: 0.731 0.934 0.422
Nd: 0.934 0.731 0.922
Dy: 0.401 0.599 0.750
Dy: 0.599 0.401 0.250
Y: 0.091 0.813 0.486
Y: 0.154 0.424 0.646
Y: 0.187 0.909 0.014
Y: 0.246 0.523 0.180
Y: 0.424 0.154 0.146
Y: 0.477 0.754 0.320
Y: 0.523 0.246 0.680
Y: 0.576 0.846 0.854
Y: 0.754 0.477 0.820
Y: 0.813 0.091 0.986
Y: 0.846 0.576 0.354
Y: 0.909 0.187 0.514

Summary:
volume: 32.7 Å³/atom

***

How far above the most stable structure does each one sit? In kJ/mol of atoms: *A* 0.0; *B* 2.7.